1.
The following is a PBE calculation of a relaxed Nd2YIn crystal, from OQMD via LeMat-Bulk.

Unit cell a=4.899 b=4.899 c=5.020 alpha=90.00 beta=90.00 gamma=90.00
Sites, in units of the cell vectors:
Nd  0.000  0.500  0.500
Nd  0.500  0.000  0.500
In  0.000  0.000  0.000
Y  0.500  0.500  0.000

- total moment (μB/atom) = 0.00
- volume (A^3/atom) = 30.1
- calculated total energy (eV/atom) = -4.96

---

2.
The following is a PBE calculation of a relaxed NdYIn2 crystal, from OQMD via LeMat-Bulk.

Unit cell a=4.366 b=6.282 c=6.282 alpha=43.24 beta=90.00 gamma=90.00
Sites, in units of the cell vectors:
In  0.500  0.917  0.917
In  0.000  0.085  0.085
Y  0.500  0.638  0.638
Nd  0.000  0.360  0.360

- total moment (μB/atom) = 0.01
- volume (A^3/atom) = 29.5
- calculated total energy (eV/atom) = -4.63

---

3.
The following is a PBE calculation of a relaxed NdYIn5 crystal, from OQMD via LeMat-Bulk.

Unit cell a=4.584 b=4.584 c=9.212 alpha=90.00 beta=90.00 gamma=90.00
Sites, in units of the cell vectors:
In  0.500  0.000  0.746
In  0.000  0.500  0.746
In  0.500  0.000  0.254
In  0.000  0.500  0.254
In  0.500  0.500  0.000
Nd  0.000  0.000  0.500
Y  0.000  0.000  0.000

- total moment (μB/atom) = 0.00
- volume (A^3/atom) = 27.7
- calculated total energy (eV/atom) = -3.91

---

4.
The following is a PBE calculation of a relaxed NdYIn2 crystal, from OQMD via LeMat-Bulk.

Unit cell a=3.810 b=3.810 c=7.630 alpha=90.00 beta=90.00 gamma=90.00
Sites, in units of the cell vectors:
Y  0.500  0.500  0.000
Nd  0.500  0.500  0.500
In  0.000  0.000  0.762
In  0.000  0.000  0.238

- total moment (μB/atom) = 0.00
- volume (A^3/atom) = 27.7
- calculated total energy (eV/atom) = -4.68

---

5.
The following is a PBE calculation of a relaxed NdZnIn crystal, from OQMD via LeMat-Bulk.

Unit cell a=4.738 b=4.738 c=7.598 alpha=90.00 beta=90.00 gamma=120.00
Sites, in units of the cell vectors:
In  0.667  0.333  0.968
In  0.333  0.667  0.468
Zn  0.667  0.333  0.540
Zn  0.333  0.667  0.040
Nd  0.000  0.000  0.242
Nd  0.000  0.000  0.742

- total moment (μB/atom) = 0.00
- volume (A^3/atom) = 24.6
- calculated total energy (eV/atom) = -3.40

---

6.
The following is a PBE calculation of a relaxed NdZnIn crystal, from OQMD via LeMat-Bulk.

Unit cell a=4.746 b=4.746 c=7.613 alpha=90.00 beta=90.00 gamma=120.00
Sites, in units of the cell vectors:
Nd  0.667  0.333  0.742
Nd  0.667  0.333  0.242
Zn  0.000  0.000  0.038
Zn  0.333  0.667  0.545
In  0.333  0.667  0.967
In  0.000  0.000  0.466

- total moment (μB/atom) = 0.00
- volume (A^3/atom) = 24.7
- calculated total energy (eV/atom) = -3.40

---

| no. | mass density (g/cm³) |
| --- | --- |
| 1 | 6.78 |
| 2 | 6.51 |
| 3 | 6.92 |
| 4 | 6.94 |
| 5 | 7.30 |
| 6 | 7.26 |